VASP calculation (PBE-GGA) on a geometry-optimized MnFe2Tc structure.

Results
Crystal system   orthorhombic
Energy relative to the elements   3.85 kcal/mol of atoms
Distance to the lowest polymorph of the same formula   106.6 meV/atom
Magnetic moment   12.51 μB/cell

```
data_MnFe2Tc
_space_group_name_H-M_alt 'C m m m'
_space_group_IT_number 65
_space_group_name_Hall '-C 2 2'
_cell_length_a 2.943
_cell_length_b 4.110
_cell_length_c 8.230
_cell_angle_alpha 90.00
_cell_angle_beta 90.00
_cell_angle_gamma 90.00
loop_
_atom_site_label
_atom_site_type_symbol
_atom_site_fract_x
_atom_site_fract_y
_atom_site_fract_z
_atom_site_occupancy
Mn1 Mn 0.000 0.000 0.000 1
Fe1 Fe 0.000 0.500 0.240 1
Tc1 Tc 0.000 0.000 0.500 1
```